Compound: NaSmP2H4CO7
Source: the Open Quantum Materials Database
Functional: PBE
Structure: optimized geometry

Cell: 6.6493 14.8785 6.6460 Å, 90.00 90.42 90.00°
With the nearest neighbours (Å) after each atom.
Fractional coordinates of all 64 atoms:
Na  0.1901  0.0310  0.1321  6 O 2.34-2.60
Na  0.1901  0.4690  0.6321  6 O 2.34-2.60
Na  0.8099  0.5310  0.3679  6 O 2.34-2.60
Na  0.8099  0.9690  0.8679  6 O 2.34-2.60
Sm  0.3243  0.5963  0.1057  7 O 2.31-2.54
Sm  0.3243  0.9037  0.6057  7 O 2.31-2.54
Sm  0.6757  0.0963  0.3943  7 O 2.31-2.54
Sm  0.6757  0.4037  0.8943  7 O 2.31-2.54
P  0.1765  0.1017  0.6321  3 O 1.52-1.56
P  0.1765  0.3983  0.1321  3 O 1.52-1.56
P  0.4680  0.6605  0.6060  3 O 1.53-1.54
P  0.4680  0.8395  0.1060  3 O 1.53-1.54
P  0.5320  0.1605  0.8940  3 O 1.53-1.54
P  0.5320  0.3395  0.3940  3 O 1.53-1.54
P  0.8235  0.6017  0.8679  3 O 1.52-1.56
P  0.8235  0.8983  0.3679  3 O 1.52-1.56
H  0.0010  0.6905  0.2416  1 O 0.98
H  0.0010  0.8095  0.7416  1 O 0.98
H  0.1395  0.7111  0.4324  1 O 1.00
H  0.1395  0.7889  0.9324  1 O 1.00
H  0.1848  0.2078  0.8961  1 C 1.10
H  0.1848  0.2922  0.3961  1 C 1.10
H  0.3182  0.2486  0.6834  1 C 1.10
H  0.3182  0.2514  0.1834  1 C 1.10
H  0.6818  0.7486  0.8166  1 C 1.10
H  0.6818  0.7514  0.3166  1 C 1.10
H  0.8152  0.7078  0.6039  1 C 1.10
H  0.8152  0.7922  0.1039  1 C 1.10
H  0.8605  0.2111  0.0676  1 O 1.00
H  0.8605  0.2889  0.5676  1 O 1.00
H  0.9990  0.1905  0.2584  1 O 0.98
H  0.9990  0.3095  0.7584  1 O 0.98
C  0.2926  0.1894  0.7784  2 H 1.10
C  0.2926  0.3106  0.2784  2 H 1.10
C  0.7074  0.6894  0.7216  2 H 1.10
C  0.7074  0.8106  0.2216  2 H 1.10
O  0.0062  0.6423  0.9732  1 P 1.52
O  0.0062  0.8577  0.4732  1 P 1.52
O  0.0655  0.6627  0.3595  2 H 0.98-1.00
O  0.0655  0.8373  0.8595  2 H 0.98-1.00
O  0.1298  0.0221  0.7740  1 P 1.55
O  0.1298  0.4779  0.2740  1 P 1.55
O  0.3271  0.0639  0.4745  1 P 1.56
O  0.3271  0.4361  0.9745  1 P 1.56
O  0.3553  0.5981  0.7486  1 P 1.53
O  0.3553  0.9019  0.2486  1 P 1.53
O  0.3580  0.7499  0.0684  1 P 1.54
O  0.3580  0.7501  0.5684  1 P 1.54
O  0.4873  0.1132  0.0952  1 P 1.54
O  0.4873  0.3868  0.5952  1 P 1.54
O  0.5127  0.6132  0.4048  1 P 1.54
O  0.5127  0.8868  0.9048  1 P 1.54
O  0.6420  0.2499  0.4316  1 P 1.54
O  0.6420  0.2501  0.9316  1 P 1.54
O  0.6447  0.0981  0.7514  1 P 1.53
O  0.6447  0.4019  0.2514  1 P 1.53
O  0.6729  0.5639  0.0255  1 P 1.56
O  0.6729  0.9361  0.5255  1 P 1.56
O  0.8702  0.5221  0.7260  1 P 1.55
O  0.8702  0.9779  0.2260  1 P 1.55
O  0.9345  0.1627  0.1405  2 H 0.98-1.00
O  0.9345  0.3373  0.6405  2 H 0.98-1.00
O  0.9938  0.1423  0.5268  1 P 1.52
O  0.9938  0.3577  0.0268  1 P 1.52

Output
- space group = P2_1/c (14)
- E (eV/atom) = -6.4835
- volume (Å³/cell) = 657.5